Material: YTcB2
Method: DFT, PBE-GGA
State: relaxed

Values from the calculation:
The calculation puts the formation energy at 0.387 eV per atom. The calculation puts the total magnetization at 0.000 μB/f.u. The polymorph energy (0 for the lowest one) comes out at 0.951 eV/atom. The calculation puts the total energy at -7.159 eV per atom.

a b c (Å): 5.917 5.917 5.917
angles (deg): 90.00 90.00 90.00
Space group Fm-3m (No. 225)
Inequivalent atoms, fractional coordinates:
Y (0.000, 0.000, 0.000) x4
Tc (0.000, 0.000, 0.500) x4
B (0.250, 0.250, 0.250) x8

Material: CdInCuPd2
Method: DFT, PBE-GGA
State: relaxed

Values from the calculation:
The calculation puts the formation energy at 0.930 eV per atom. The calculation puts the total magnetization at 0.000 μB/f.u. The calculation puts the total energy at -2.697 eV per atom.

a b c (Å): 5.014 5.014 5.239
angles (deg): 90.00 90.00 90.00
Space group P4/mmm (No. 123)
Inequivalent atoms, fractional coordinates:
Cd (0.000, 0.000, 0.000) x1
In (0.000, 0.000, 0.500) x1
Cu (0.500, 0.500, 0.500) x1
Pd (0.000, 0.500, 0.000) x2

Material: Tb4PrEr
Method: DFT, PBE-GGA
State: relaxed

Values from the calculation:
The calculation puts the formation energy at 0.268 eV per atom. The calculation puts the total magnetization at 0.004 μB/f.u. The polymorph energy (0 for the lowest one) comes out at 0.070 eV/atom. The calculation puts the total energy at -4.376 eV per atom.

a b c (Å): 9.343 9.343 9.343
angles (deg): 90.00 90.00 90.00
Space group F-43m (No. 216)
Inequivalent atoms, fractional coordinates:
Tb (0.125, 0.125, 0.125) x16
Pr (0.000, 0.000, 0.500) x4
Er (0.250, 0.250, 0.750) x4

Material: TaRe2Se
Method: DFT, PBE-GGA
State: relaxed

Values from the calculation:
The calculation puts the total magnetization at 0.000 μB/f.u. The calculation puts the total energy at -9.782 eV per atom. Its uncorrected formation energy is 0.277 eV per atom.

a b c (Å): 3.076 4.555 9.024
angles (deg): 90.00 90.00 90.00
Space group Imm2 (No. 44)
Inequivalent atoms, fractional coordinates:
Ta (0.000, 0.000, 0.000) x2
Re (0.000, 0.000, 0.532) x2
Re (0.000, 0.500, 0.780) x2
Se (0.000, 0.500, 0.261) x2

Material: TlHg6Au3
Method: DFT, PBE-GGA
State: relaxed

Values from the calculation:
The calculation puts the formation energy at 0.057 eV per atom. The calculation puts the total magnetization at 0.000 μB/f.u. The calculation puts the total energy at -1.344 eV per atom.

a b c (Å): 10.818 3.826 11.983
angles (deg): 90.00 98.82 90.00
Space group P2_1/m (No. 11)
Inequivalent atoms, fractional coordinates:
Tl (0.026, 0.250, 0.253) x2
Hg (0.108, 0.250, 0.963) x2
Hg (0.209, 0.750, 0.458) x2
Hg (0.244, 0.750, 0.183) x2
Hg (0.265, 0.750, 0.726) x2
Hg (0.433, 0.250, 0.603) x2
Hg (0.465, 0.250, 0.131) x2
Au (0.074, 0.250, 0.583) x2
Au (0.316, 0.750, 0.966) x2
Au (0.363, 0.250, 0.354) x2

Material: AsCl
Method: DFT, PBE-GGA
State: relaxed

Values from the calculation:
The calculation puts the total magnetization at 0.000 μB/f.u. The calculation puts the total energy at -3.079 eV per atom. Its uncorrected formation energy is 0.169 eV per atom.

a b c (Å): 3.126 5.888 10.104
angles (deg): 90.00 90.00 90.00
Space group Cmme (No. 67)
Inequivalent atoms, fractional coordinates:
As (0.000, 0.250, 0.117) x4
Cl (0.000, 0.250, 0.685) x4

Material: CaGdAgSb
Method: DFT, PBE-GGA
State: relaxed

Values from the calculation:
The calculation puts the total magnetization at 7.384 μB/f.u. The calculation puts the total energy at -6.366 eV per atom. Its uncorrected formation energy is -0.602 eV per atom.

a b c (Å): 7.510 7.510 7.510
angles (deg): 90.00 90.00 90.00
Space group F-43m (No. 216)
Inequivalent atoms, fractional coordinates:
Ca (0.000, 0.000, 0.000) x4
Gd (0.000, 0.000, 0.500) x4
Ag (0.250, 0.250, 0.750) x4
Sb (0.250, 0.250, 0.250) x4

Material: Al2Sn2Pb
Method: DFT, PBE-GGA
State: relaxed

Values from the calculation:
The calculation puts the formation energy at 0.160 eV per atom. The calculation puts the total magnetization at 0.000 μB/f.u. The polymorph energy (0 for the lowest one) comes out at 0.025 eV/atom. The calculation puts the total energy at -3.679 eV per atom.

a b c (Å): 8.705 8.705 3.274
angles (deg): 90.00 90.00 90.00
Space group P4/mbm (No. 127)
Inequivalent atoms, fractional coordinates:
Al (0.148, 0.352, 0.000) x4
Sn (0.146, 0.646, 0.500) x4
Pb (0.000, 0.000, 0.500) x2

Material: Ac4B3PdPt12
Method: DFT, PBE-GGA
State: relaxed

Values from the calculation:
The calculation puts the formation energy at -0.642 eV per atom. The calculation puts the total magnetization at 0.000 μB/f.u. The calculation puts the total energy at -6.349 eV per atom.

a b c (Å): 9.202 9.202 9.202
angles (deg): 90.00 90.00 90.00
Space group Im-3m (No. 229)
Inequivalent atoms, fractional coordinates:
Ac (0.250, 0.250, 0.250) x8
B (0.000, 0.000, 0.500) x6
Pd (0.000, 0.000, 0.000) x2
Pt (0.000, 0.000, 0.283) x12
Pt (0.000, 0.250, 0.500) x12

Material: NiBPC
Method: DFT, PBE-GGA
State: relaxed

Values from the calculation:
The calculation puts the formation energy at 0.361 eV per atom. The calculation puts the total magnetization at 0.000 μB/f.u. The polymorph energy (0 for the lowest one) comes out at 0.295 eV/atom. The calculation puts the total energy at -6.412 eV per atom.

a b c (Å): 3.435 3.387 4.308
angles (deg): 90.00 109.21 90.00
Space group Pm (No. 6)
Inequivalent atoms, fractional coordinates:
Ni (0.000, 0.000, 0.000) x1
B (0.631, 0.500, 0.928) x1
P (0.052, 0.500, 0.678) x1
C (0.940, 0.500, 0.260) x1

Material: CsMnRu3
Method: DFT, PBE-GGA
State: relaxed

Values from the calculation:
The calculation puts the formation energy at 1.560 eV per atom. The calculation puts the total magnetization at 0.000 μB/f.u. The calculation puts the total energy at -6.010 eV per atom.

a b c (Å): 4.629 4.629 4.629
angles (deg): 90.00 90.00 90.00
Space group Pm-3m (No. 221)
Inequivalent atoms, fractional coordinates:
Cs (0.000, 0.000, 0.000) x1
Mn (0.500, 0.500, 0.500) x1
Ru (0.000, 0.500, 0.500) x3

Material: MgAgH2
Method: DFT, PBE-GGA
State: relaxed

Values from the calculation:
The calculation puts the total magnetization at 0.000 μB/f.u. The polymorph energy (0 for the lowest one) comes out at 0.114 eV/atom. The calculation puts the total energy at -2.611 eV per atom.

a b c (Å): 4.539 4.539 9.315
angles (deg): 90.00 90.00 90.00
Space group I-42d (No. 122)
Inequivalent atoms, fractional coordinates:
Mg (0.000, 0.000, 0.000) x4
Ag (0.000, 0.000, 0.500) x4
H (0.241, 0.250, 0.625) x8

> Which formula does entry 6 have?

AsCl